Entry from Alexandria: an optimized crystal structure of AlAgPb2 (PBE).

Uncorrected energy: -3.3020 eV per atom
Total magnetization: 0.0 μB/cell

The structure in CIF format:
```
data_AlAgPb2
_cell_length_a 7.1041
_cell_length_b 8.2062
_cell_length_c 3.4245
_cell_angle_alpha 90.00
_cell_angle_beta 97.04
_cell_angle_gamma 90.00
_symmetry_space_group_name_H-M 'C 1 2/m 1'
_symmetry_Int_Tables_number 12
loop_
_symmetry_equiv_pos_as_xyz
'x,y,z'
'-x,-y,-z'
'-x,y,-z'
'x,-y,z'
'x+1/2,y+1/2,z'
'-x+1/2,-y+1/2,-z'
'-x+1/2,y+1/2,-z'
'x+1/2,-y+1/2,z'
loop_
_atom_site_label
_atom_site_type_symbol
_atom_site_fract_x
_atom_site_fract_y
_atom_site_fract_z
Al1 Al 0.0000 0.0000 0.0000
Ag1 Ag 0.0000 0.5000 0.0000
Pb1 Pb 0.2500 0.2500 0.5000
```



Entry from Alexandria: an optimized crystal structure of Al2AgPb2 (PBE).

Uncorrected energy: -3.2015 eV per atom
Total magnetization: 0.0 μB/cell

The structure in CIF format:
```
data_Al2AgPb2
_cell_length_a 8.1251
_cell_length_b 8.1251
_cell_length_c 3.8636
_cell_angle_alpha 90.00
_cell_angle_beta 90.00
_cell_angle_gamma 90.00
_symmetry_space_group_name_H-M 'P 4/m b m'
_symmetry_Int_Tables_number 127
_symmetry_space_group_name_Hall '-P 4 2ab'
loop_
_atom_site_label
_atom_site_type_symbol
_atom_site_fract_x
_atom_site_fract_y
_atom_site_fract_z
Al1 Al 0.1189 0.3811 0.0000
Ag1 Ag 0.0000 0.0000 0.5000
Pb1 Pb 0.1810 0.6810 0.5000
```



Entry from Alexandria: an optimized crystal structure of AlAgPb2Se4 (PBE).

Uncorrected energy: -3.9987 eV per atom
Total magnetization: 0.0 μB/cell
Formation energy (no corrections): -0.505 eV/atom

The structure in CIF format:
```
data_AlAgPb2Se4
_cell_length_a 6.4104
_cell_length_b 6.7796
_cell_length_c 6.9450
_cell_angle_alpha 112.63
_cell_angle_beta 110.17
_cell_angle_gamma 103.11
_symmetry_space_group_name_H-M 'P 1'
_symmetry_Int_Tables_number 1
loop_
_symmetry_equiv_pos_as_xyz
'x,y,z'
loop_
_atom_site_label
_atom_site_type_symbol
_atom_site_fract_x
_atom_site_fract_y
_atom_site_fract_z
Al1 Al 0.0000 0.0000 0.0000
Ag1 Ag 0.2589 0.7577 0.5176
Pb1 Pb 0.5458 0.5465 0.0917
Pb2 Pb 0.7723 0.2721 0.5526
Se1 Se 0.1399 0.0922 0.7497
Se2 Se 0.2966 0.8859 0.2044
Se3 Se 0.6117 0.6586 0.7470
Se4 Se 0.9073 0.3180 0.2098
```



Entry from Alexandria: an optimized crystal structure of AlSi2AgPb (PBE).

Uncorrected energy: -2.8185 eV per atom
Total magnetization: 0.0 μB/cell
Formation energy (no corrections): 1.411 eV/atom

The structure in CIF format:
```
data_AlSi2AgPb
_cell_length_a 5.3197
_cell_length_b 5.3197
_cell_length_c 5.3764
_cell_angle_alpha 90.00
_cell_angle_beta 90.00
_cell_angle_gamma 90.00
_symmetry_space_group_name_H-M 'P 4/m m m'
_symmetry_Int_Tables_number 123
_symmetry_space_group_name_Hall '-P 4 2'
loop_
_atom_site_label
_atom_site_type_symbol
_atom_site_fract_x
_atom_site_fract_y
_atom_site_fract_z
Al1 Al 0.0000 0.0000 0.0000
Si1 Si 0.0000 0.5000 0.5000
Ag1 Ag 0.5000 0.5000 0.0000
Pb1 Pb 0.0000 0.0000 0.5000
```



Entry from Alexandria: an optimized crystal structure of Sr2Al4Ag3Pb (PBE).

Uncorrected energy: -3.2801 eV per atom
Total magnetization: 0.0 μB/cell

The structure in CIF format:
```
data_Sr2Al4Ag3Pb
_cell_length_a 4.5083
_cell_length_b 4.5083
_cell_length_c 11.5610
_cell_angle_alpha 90.00
_cell_angle_beta 90.00
_cell_angle_gamma 90.00
_symmetry_space_group_name_H-M 'P -4 m 2'
_symmetry_Int_Tables_number 115
loop_
_symmetry_equiv_pos_as_xyz
'x,y,z'
'y,-x,-z'
'-x,-y,z'
'-y,x,-z'
'-x,y,z'
'-y,-x,-z'
'x,-y,z'
'y,x,-z'
loop_
_atom_site_label
_atom_site_type_symbol
_atom_site_fract_x
_atom_site_fract_y
_atom_site_fract_z
Sr1 Sr 0.0000 0.5000 0.2399
Al1 Al 0.0000 0.0000 0.0000
Al2 Al 0.0000 0.5000 0.6502
Al3 Al 0.5000 0.5000 0.0000
Ag1 Ag 0.0000 0.5000 0.8741
Ag2 Ag 0.5000 0.5000 0.5000
Pb1 Pb 0.0000 0.0000 0.5000
```



Entry from Alexandria: an optimized crystal structure of AlAgTe2Pb (PBE).

Uncorrected energy: -2.9021 eV per atom
Total magnetization: 0.0 μB/cell
Formation energy (no corrections): 0.415 eV/atom

The structure in CIF format:
```
data_AlAgTe2Pb
_cell_length_a 5.4253
_cell_length_b 5.4253
_cell_length_c 5.3374
_cell_angle_alpha 90.00
_cell_angle_beta 90.00
_cell_angle_gamma 90.00
_symmetry_space_group_name_H-M 'P 4/m m m'
_symmetry_Int_Tables_number 123
_symmetry_space_group_name_Hall '-P 4 2'
loop_
_atom_site_label
_atom_site_type_symbol
_atom_site_fract_x
_atom_site_fract_y
_atom_site_fract_z
Al1 Al 0.0000 0.0000 0.0000
Ag1 Ag 0.5000 0.5000 0.5000
Te1 Te 0.0000 0.5000 0.0000
Pb1 Pb 0.0000 0.0000 0.5000
```



Entry from Alexandria: an optimized crystal structure of Al2AgTe4Pb (PBE).

Uncorrected energy: -3.5332 eV per atom
Total magnetization: 0.0 μB/cell
Formation energy (no corrections): -0.207 eV/atom

The structure in CIF format:
```
data_Al2AgTe4Pb
_cell_length_a 8.7093
_cell_length_b 9.9342
_cell_length_c 13.0204
_cell_angle_alpha 90.00
_cell_angle_beta 90.00
_cell_angle_gamma 90.00
_symmetry_space_group_name_H-M 'F m m 2'
_symmetry_Int_Tables_number 42
_symmetry_space_group_name_Hall 'F 2 -2'
loop_
_atom_site_label
_atom_site_type_symbol
_atom_site_fract_x
_atom_site_fract_y
_atom_site_fract_z
Al1 Al 0.2500 0.2500 0.0000
Ag1 Ag 0.0000 0.0000 0.2591
Te1 Te 0.0000 0.2234 0.1245
Te2 Te 0.2353 0.0000 0.4091
Pb1 Pb 0.0000 0.0000 0.7495
```



Entry from Alexandria: an optimized crystal structure of AlVAgPb2 (PBE).

Uncorrected energy: -3.7488 eV per atom
Total magnetization: 3.3 μB/cell

The structure in CIF format:
```
data_AlVAgPb2
_cell_length_a 5.3583
_cell_length_b 5.3583
_cell_length_c 4.9539
_cell_angle_alpha 90.00
_cell_angle_beta 90.00
_cell_angle_gamma 90.00
_symmetry_space_group_name_H-M 'P 4/m m m'
_symmetry_Int_Tables_number 123
_symmetry_space_group_name_Hall '-P 4 2'
loop_
_atom_site_label
_atom_site_type_symbol
_atom_site_fract_x
_atom_site_fract_y
_atom_site_fract_z
Al1 Al 0.0000 0.0000 0.0000
V1 V 0.0000 0.0000 0.5000
Ag1 Ag 0.5000 0.5000 0.5000
Pb1 Pb 0.0000 0.5000 0.0000
```



Entry from Alexandria: an optimized crystal structure of AlAgPd6 (PBE).

Uncorrected energy: -5.0178 eV per atom
Total magnetization: 0.0 μB/cell

The structure in CIF format:
```
data_AlAgPd6
_cell_length_a 3.9887
_cell_length_b 3.9887
_cell_length_c 7.7690
_cell_angle_alpha 90.00
_cell_angle_beta 90.00
_cell_angle_gamma 90.00
_symmetry_space_group_name_H-M 'P 4/m m m'
_symmetry_Int_Tables_number 123
_symmetry_space_group_name_Hall '-P 4 2'
loop_
_atom_site_label
_atom_site_type_symbol
_atom_site_fract_x
_atom_site_fract_y
_atom_site_fract_z
Al1 Al 0.0000 0.0000 0.0000
Ag1 Ag 0.0000 0.0000 0.5000
Pd1 Pd 0.0000 0.5000 0.2382
Pd2 Pd 0.5000 0.5000 0.0000
Pd3 Pd 0.5000 0.5000 0.5000
```



Entry from Alexandria: an optimized crystal structure of AlAg2Pd8 (PBE).

Uncorrected energy: -4.8807 eV per atom
Total magnetization: 0.0 μB/cell

The structure in CIF format:
```
data_AlAg2Pd8
_cell_length_a 14.2426
_cell_length_b 3.9878
_cell_length_c 6.3012
_cell_angle_alpha 90.00
_cell_angle_beta 106.05
_cell_angle_gamma 90.00
_symmetry_space_group_name_H-M 'C 1 2/m 1'
_symmetry_Int_Tables_number 12
loop_
_symmetry_equiv_pos_as_xyz
'x,y,z'
'-x,-y,-z'
'-x,y,-z'
'x,-y,z'
'x+1/2,y+1/2,z'
'-x+1/2,-y+1/2,-z'
'-x+1/2,y+1/2,-z'
'x+1/2,-y+1/2,z'
loop_
_atom_site_label
_atom_site_type_symbol
_atom_site_fract_x
_atom_site_fract_y
_atom_site_fract_z
Al1 Al 0.0000 0.0000 0.0000
Ag1 Ag 0.2264 0.5000 0.6371
Pd1 Pd 0.0441 0.5000 0.7276
Pd2 Pd 0.0870 0.0000 0.4405
Pd3 Pd 0.1306 0.5000 0.1694
Pd4 Pd 0.1773 0.0000 0.9077
```



Entry from Alexandria: an optimized crystal structure of Al2AgPd8 (PBE).

Uncorrected energy: -5.1492 eV per atom
Total magnetization: 0.0 μB/cell

The structure in CIF format:
```
data_Al2AgPd8
_cell_length_a 4.0781
_cell_length_b 6.9750
_cell_length_c 12.1084
_cell_angle_alpha 90.00
_cell_angle_beta 90.00
_cell_angle_gamma 90.00
_symmetry_space_group_name_H-M 'I m m m'
_symmetry_Int_Tables_number 71
_symmetry_space_group_name_Hall '-I 2 2'
loop_
_atom_site_label
_atom_site_type_symbol
_atom_site_fract_x
_atom_site_fract_y
_atom_site_fract_z
Al1 Al 0.0000 0.0000 0.1960
Ag1 Ag 0.0000 0.0000 0.5000
Pd1 Pd 0.0000 0.1926 0.0000
Pd2 Pd 0.0000 0.2839 0.3394
Pd3 Pd 0.0000 0.5000 0.1522
```



Entry from Alexandria: an optimized crystal structure of Al3AgPd2 (PBE).

Uncorrected energy: -4.6801 eV per atom
Total magnetization: 0.0 μB/cell

The structure in CIF format:
```
data_Al3AgPd2
_cell_length_a 3.0936
_cell_length_b 3.0936
_cell_length_c 9.5431
_cell_angle_alpha 90.00
_cell_angle_beta 90.00
_cell_angle_gamma 90.00
_symmetry_space_group_name_H-M 'P 4/m m m'
_symmetry_Int_Tables_number 123
_symmetry_space_group_name_Hall '-P 4 2'
loop_
_atom_site_label
_atom_site_type_symbol
_atom_site_fract_x
_atom_site_fract_y
_atom_site_fract_z
Al1 Al 0.0000 0.0000 0.0000
Al2 Al 0.0000 0.0000 0.3152
Ag1 Ag 0.5000 0.5000 0.5000
Pd1 Pd 0.5000 0.5000 0.1627
```



Question: Which value of total magnetization does entry 9 give?
Answer: 0.0 μB/cell